# 1
SrNdY | PBE | relaxed

a b c (Å): 5.812 5.812 5.812
angles (deg): 60.00 60.00 60.00
Sites, in units of the cell vectors:
Sr 0.000 0.000 0.000
Nd 0.500 0.500 0.500
Y 0.250 0.250 0.250

V: 46.3 Å³/atom
Total energy: -3.514 eV/atom

---

# 2
BaTaPdAu | PBE | relaxed

a b c (Å): 4.939 4.939 4.939
angles (deg): 60.00 60.00 60.00
Sites, in units of the cell vectors:
Ba 0.000 0.000 0.000
Au 0.750 0.750 0.750
Ta 0.250 0.250 0.250
Pd 0.500 0.500 0.500

V: 21.3 Å³/atom
Total energy: -4.991 eV/atom

---

# 3
PrHfBi3 | PBE | relaxed

a b c (Å): 13.796 6.665 6.513
angles (deg): 90.00 90.00 90.00
Sites, in units of the cell vectors:
Bi 0.497 0.750 0.500
Bi 0.239 0.986 0.750
Bi 0.922 0.619 0.250
Bi 0.761 0.486 0.750
Bi 0.503 0.250 0.000
Bi 0.761 0.014 0.250
Bi 0.078 0.381 0.750
Bi 0.239 0.514 0.250
Bi 0.497 0.750 0.000
Bi 0.503 0.250 0.500
Bi 0.922 0.881 0.750
Bi 0.078 0.119 0.250
Pr 0.684 0.989 0.750
Pr 0.316 0.011 0.250
Pr 0.684 0.511 0.250
Pr 0.316 0.489 0.750
Hf 0.908 0.250 0.000
Hf 0.092 0.750 0.500
Hf 0.092 0.750 0.000
Hf 0.908 0.250 0.500

V: 29.9 Å³/atom
Total energy: -5.856 eV/atom

---

# 4
PmPr | PBE | relaxed

a b c (Å): 4.674 4.674 4.674
angles (deg): 60.00 60.00 60.00
Sites, in units of the cell vectors:
Pr 0.500 0.500 0.500
Pm 0.000 0.000 0.000

V: 36.1 Å³/atom
Energy of formation: 1.22 eV/f.u.

---

# 5
CoGeMo2 | PBE | relaxed

a b c (Å): 4.319 4.319 4.319
angles (deg): 60.00 60.00 60.00
Sites, in units of the cell vectors:
Mo 0.000 0.000 0.000
Mo 0.750 0.750 0.750
Ge 0.500 0.500 0.500
Co 0.250 0.250 0.250

V: 14.2 Å³/atom
Total energy: -8.225 eV/atom

---

# 6
Zr4InC2Se | PBE | relaxed

a b c (Å): 3.427 3.427 13.851
angles (deg): 90.00 90.00 120.00
Sites, in units of the cell vectors:
Se 0.667 0.333 0.500
In 0.333 0.667 0.000
Zr 0.333 0.667 0.642
Zr 0.667 0.333 0.819
Zr 0.667 0.333 0.181
Zr 0.333 0.667 0.358
C 0.000 0.000 0.268
C 0.000 0.000 0.732

V: 17.6 Å³/atom
Total energy: -8.303 eV/atom

---

# 7
NaZnBiPt | PBE | relaxed

a b c (Å): 4.804 4.804 4.804
angles (deg): 60.00 60.00 60.00
Sites, in units of the cell vectors:
Zn 0.000 0.000 0.000
Bi 0.500 0.500 0.500
Na 0.750 0.750 0.750
Pt 0.250 0.250 0.250

V: 19.6 Å³/atom
Total energy: -3.327 eV/atom

---

# 8
SrCdHg2 | PBE | relaxed

a b c (Å): 4.932 4.932 4.649
angles (deg): 90.00 90.00 90.00
Sites, in units of the cell vectors:
Hg 0.000 0.500 0.500
Hg 0.500 0.000 0.500
Sr 0.500 0.500 0.000
Cd 0.000 0.000 0.000

V: 28.3 Å³/atom
Total energy: -1.129 eV/atom

---

# 9
DyInHg | PBE | relaxed

a b c (Å): 5.024 5.024 5.024
angles (deg): 60.00 60.00 60.00
Sites, in units of the cell vectors:
In 0.750 0.750 0.750
Dy 0.000 0.000 0.000
Hg 0.250 0.250 0.250

V: 29.9 Å³/atom
Total energy: -2.601 eV/atom

---

# 10
KLaNiS3 | PBE | relaxed

a b c (Å): 8.785 4.070 9.340
angles (deg): 90.00 102.74 90.00
Sites, in units of the cell vectors:
S 0.832 0.250 0.964
S 0.551 0.250 0.339
S 0.094 0.250 0.339
S 0.168 0.750 0.036
S 0.449 0.750 0.661
S 0.906 0.750 0.661
K 0.801 0.750 0.259
K 0.199 0.250 0.741
La 0.324 0.750 0.353
La 0.676 0.250 0.647
Ni 0.926 0.750 0.909
Ni 0.074 0.250 0.091

V: 27.1 Å³/atom
Total energy: -5.302 eV/atom

---

# 11
HfSiMo | PBE | relaxed

a b c (Å): 6.539 3.646 8.666
angles (deg): 90.00 90.00 90.00
Sites, in units of the cell vectors:
Si 0.630 0.750 0.960
Si 0.130 0.750 0.540
Si 0.370 0.250 0.040
Si 0.870 0.250 0.460
Hf 0.946 0.250 0.858
Hf 0.054 0.750 0.142
Hf 0.554 0.750 0.358
Hf 0.446 0.250 0.642
Mo 0.766 0.750 0.662
Mo 0.734 0.250 0.162
Mo 0.234 0.250 0.338
Mo 0.266 0.750 0.838

V: 17.2 Å³/atom
Total energy: -8.929 eV/atom

---

# 12
ScSnTe3Au | PBE | relaxed

a b c (Å): 4.233 12.534 12.971
angles (deg): 90.00 90.00 90.00
Sites, in units of the cell vectors:
Sn 0.250 0.467 0.312
Sn 0.250 0.033 0.812
Sn 0.750 0.967 0.188
Sn 0.750 0.533 0.688
Te 0.750 0.662 0.266
Te 0.750 0.350 0.475
Te 0.250 0.928 0.419
Te 0.250 0.338 0.734
Te 0.750 0.428 0.081
Te 0.250 0.162 0.234
Te 0.250 0.850 0.025
Te 0.250 0.650 0.525
Te 0.250 0.572 0.919
Te 0.750 0.072 0.581
Te 0.750 0.838 0.766
Te 0.750 0.150 0.975
Sc 0.250 0.178 0.452
Sc 0.250 0.322 0.952
Sc 0.750 0.678 0.048
Sc 0.750 0.822 0.548
Au 0.750 0.311 0.261
Au 0.250 0.689 0.739
Au 0.750 0.189 0.761
Au 0.250 0.811 0.239

V: 28.7 Å³/atom
Total energy: -4.346 eV/atom